--- 1 ---
A plane-wave DFT calculation with GGA-PBE was carried out for crystalline Tb4Tl2Hg at its relaxed geometry.

```
Tb4Tl2Hg
1.0
2.641 1.525 8.594
-2.641 1.525 8.594
0.000 -3.049 8.594
Tb Tl Hg
4 2 1
Cartesian
0.000 0.000 3.153
0.000 0.000 9.634
0.000 0.000 16.148
0.000 0.000 22.629
0.000 0.000 6.493
0.000 0.000 19.290
0.000 0.000 12.891
```

Results
- crystal system = trigonal
- total magnetic moment (μB/cell) = 0.00



--- 2 ---
A plane-wave DFT calculation with GGA-PBE was carried out for crystalline Tb4Tl2Hg at its relaxed geometry.

```
Tb4Tl2Hg
1.0
7.208 0.000 0.000
0.000 6.774 0.000
-3.366 0.000 8.569
Tb Tl Hg
8 4 2
Cartesian
0.442 1.693 0.475
-1.207 0.055 6.260
-1.207 3.332 6.260
1.134 5.080 2.936
2.708 1.693 5.633
5.048 3.442 2.308
5.048 6.719 2.308
3.400 5.080 8.093
-0.020 1.693 3.787
2.922 5.080 0.352
0.920 1.693 8.216
3.862 5.080 4.782
1.199 5.080 6.002
2.643 1.693 2.566
```

Results
- crystal system = monoclinic
- total magnetic moment (μB/cell) = 0.00



Preferred: 1; penalty for the next structure: 6.4 kJ/mol of atoms.



--- 1 ---
A plane-wave DFT calculation with GGA-PBE was carried out for crystalline Tb4Tl2Hg3 at its relaxed geometry.

```
Tb4Tl2Hg3
1.0
3.613 -7.851 0.000
3.613 7.851 0.000
0.000 0.000 9.073
Tb Tl Hg
8 4 6
Cartesian
3.613 4.883 8.741
1.806 0.455 6.805
1.806 -0.455 2.268
3.613 2.968 4.205
3.613 -2.968 4.868
5.419 0.455 6.805
5.419 -0.455 2.268
3.613 -4.883 0.332
3.613 6.107 5.101
3.613 1.743 0.564
3.613 -1.743 8.508
3.613 -6.107 3.972
0.000 0.000 0.000
1.806 3.482 6.805
1.806 -3.482 2.268
3.613 0.000 4.536
5.419 3.482 6.805
5.419 -3.482 2.268
```

Results
- crystal system = orthorhombic
- total magnetic moment (μB/cell) = 0.00



--- 2 ---
A plane-wave DFT calculation with GGA-PBE was carried out for crystalline Tb4Tl2Hg3 at its relaxed geometry.

```
Tb4Tl2Hg3
1.0
4.502 -2.609 0.000
4.502 2.609 0.000
-0.068 0.000 10.223
Tb Tl Hg
4 2 3
Cartesian
-0.014 0.000 3.376
2.937 0.000 9.043
5.999 0.000 1.180
8.949 0.000 6.848
2.991 0.000 2.194
5.944 0.000 8.029
0.000 0.000 0.000
2.957 0.000 5.728
5.978 0.000 4.495
```

Results
- crystal system = monoclinic
- total magnetic moment (μB/cell) = 0.00



Preferred: 2; penalty for the next structure: 7.2 kJ/mol of atoms.



--- 1 ---
A plane-wave DFT calculation with GGA-PBE was carried out for crystalline Tb3TlHg3 at its relaxed geometry.

```
Tb3TlHg3
1.0
9.256 0.000 0.000
-4.628 8.016 0.000
0.000 0.000 5.054
Tb Tl Hg
6 2 6
Cartesian
-1.107 3.569 1.264
-0.984 7.191 1.264
2.537 2.743 3.791
2.091 5.273 1.264
5.612 0.825 3.791
5.736 4.448 3.791
0.000 5.344 3.791
4.628 2.672 1.264
-0.747 1.875 3.791
-2.630 7.726 3.791
1.250 1.585 1.264
3.378 6.431 3.791
7.259 0.290 1.264
5.376 6.141 1.264
```

Results
- crystal system = hexagonal
- total magnetic moment (μB/cell) = 0.00



--- 2 ---
A plane-wave DFT calculation with GGA-PBE was carried out for crystalline Tb3TlHg3 at its relaxed geometry.

```
Tb3TlHg3
1.0
5.033 -5.139 0.000
5.033 5.139 0.000
-0.064 0.000 7.468
Tb Tl Hg
6 2 6
Cartesian
2.457 2.108 5.570
0.570 0.000 1.896
2.457 -2.108 5.570
7.545 2.108 1.898
9.432 0.000 5.572
7.545 -2.108 1.898
3.369 0.000 0.321
6.633 0.000 7.147
5.033 2.715 0.000
5.001 2.626 3.734
3.319 0.000 3.401
6.683 0.000 4.067
5.001 -2.626 3.734
5.033 -2.715 0.000
```

Results
- crystal system = monoclinic
- total magnetic moment (μB/cell) = 0.00



Preferred: 1; penalty for the next structure: 1.2 kJ/mol of atoms.



--- 1 ---
A plane-wave DFT calculation with GGA-PBE was carried out for crystalline TbTlHg3 at its relaxed geometry.

```
TbTlHg3
1.0
8.431 -2.528 0.000
8.431 2.528 0.000
-2.464 0.000 6.064
Tb Tl Hg
2 2 6
Cartesian
0.710 0.000 2.867
13.688 0.000 3.197
4.345 0.000 1.119
10.053 0.000 4.945
-0.933 0.000 5.736
3.576 0.000 4.355
7.725 0.000 1.635
6.673 0.000 4.429
10.822 0.000 1.709
15.331 0.000 0.328
```

Results
- crystal system = monoclinic
- total magnetic moment (μB/cell) = 0.00



--- 2 ---
A plane-wave DFT calculation with GGA-PBE was carried out for crystalline TbTlHg3 at its relaxed geometry.

```
TbTlHg3
1.0
3.135 -8.022 0.000
3.135 8.022 0.000
0.000 0.000 5.662
Tb Tl Hg
2 2 6
Cartesian
3.135 5.123 4.247
3.135 -5.123 1.416
3.135 1.808 1.416
3.135 -1.808 4.247
0.000 0.000 0.000
0.000 0.000 2.831
1.533 2.522 4.247
1.533 -2.522 1.416
4.736 2.522 4.247
4.736 -2.522 1.416
```

Results
- crystal system = orthorhombic
- total magnetic moment (μB/cell) = 0.00



Preferred: 1; penalty for the next structure: 4.9 kJ/mol of atoms.



--- 1 ---
A plane-wave DFT calculation with GGA-PBE was carried out for crystalline Tb2Tl2Hg3 at its relaxed geometry.

```
Tb2Tl2Hg3
1.0
4.967 0.000 0.000
2.463 4.670 0.000
2.383 0.861 8.407
Tb Tl Hg
2 2 3
Cartesian
1.237 0.703 1.282
8.575 4.828 7.125
3.677 2.008 3.398
6.136 3.523 5.009
3.626 1.821 6.530
3.715 2.335 0.000
6.186 3.709 1.878
```

Results
- crystal system = triclinic
- total magnetic moment (μB/cell) = 0.00



--- 2 ---
A plane-wave DFT calculation with GGA-PBE was carried out for crystalline Tb2Tl2Hg3 at its relaxed geometry.

```
Tb2Tl2Hg3
1.0
4.541 0.000 0.000
0.000 23.230 0.000
0.000 0.000 3.533
Tb Tl Hg
4 4 6
Cartesian
0.000 3.317 0.000
0.000 19.913 0.000
2.271 8.298 0.000
2.271 14.932 0.000
0.000 6.769 1.767
0.000 16.462 1.767
2.271 4.847 1.767
2.271 18.384 1.767
0.000 0.000 0.000
0.000 10.009 1.767
0.000 13.222 1.767
2.271 1.606 1.767
2.271 11.615 0.000
2.271 21.624 1.767
```

Results
- crystal system = orthorhombic
- total magnetic moment (μB/cell) = 0.00



Preferred: 1; penalty for the next structure: 4.4 kJ/mol of atoms.



--- 1 ---
A plane-wave DFT calculation with GGA-PBE was carried out for crystalline Tb4TlHg3 at its relaxed geometry.

```
Tb4TlHg3
1.0
3.849 0.000 0.000
0.000 4.843 0.000
0.000 0.000 11.719
Tb Tl Hg
4 1 3
Cartesian
0.000 0.000 0.000
0.000 2.421 3.330
1.924 0.000 5.730
1.924 2.421 9.258
0.000 0.000 8.503
0.000 2.421 6.462
1.924 0.000 2.644
1.924 2.421 0.643
```

Results
- crystal system = orthorhombic
- total magnetic moment (μB/cell) = 0.00



--- 2 ---
A plane-wave DFT calculation with GGA-PBE was carried out for crystalline Tb4TlHg3 at its relaxed geometry.

```
Tb4TlHg3
1.0
3.738 0.000 0.000
0.000 3.738 0.000
0.000 0.000 15.165
Tb Tl Hg
4 1 3
Cartesian
0.000 0.000 1.867
0.000 0.000 5.581
0.000 0.000 9.584
0.000 0.000 13.298
1.869 1.869 7.583
1.869 1.869 0.000
1.869 1.869 3.727
1.869 1.869 11.438
```

Results
- crystal system = tetragonal
- total magnetic moment (μB/cell) = 0.60



Preferred: 2; penalty for the next structure: 3.1 kJ/mol of atoms.



--- 1 ---
A plane-wave DFT calculation with GGA-PBE was carried out for crystalline Tb6Tl2Hg at its relaxed geometry.

```
Tb6Tl2Hg
1.0
8.924 0.000 0.000
-4.462 7.728 0.000
0.000 0.000 3.772
Tb Tl Hg
6 2 1
Cartesian
-1.227 2.125 0.000
-2.727 4.723 1.886
2.453 0.000 0.000
1.735 3.006 1.886
5.453 0.000 1.886
3.235 5.604 0.000
0.000 5.152 0.000
4.462 2.576 0.000
0.000 0.000 1.886
```

Results
- crystal system = hexagonal
- total magnetic moment (μB/cell) = 0.00



--- 2 ---
A plane-wave DFT calculation with GGA-PBE was carried out for crystalline Tb6Tl2Hg at its relaxed geometry.

```
Tb6Tl2Hg
1.0
8.180 -3.661 0.000
8.180 3.661 0.000
-1.625 0.000 4.905
Tb Tl Hg
6 2 1
Cartesian
4.945 1.860 1.647
8.180 1.887 0.000
9.791 1.860 3.258
4.945 -1.860 1.647
8.180 -1.887 0.000
9.791 -1.860 3.258
4.103 0.000 4.091
10.633 0.000 0.814
-0.812 0.000 2.453
```

Results
- crystal system = monoclinic
- total magnetic moment (μB/cell) = 0.00



Preferred: 1; penalty for the next structure: 20.6 kJ/mol of atoms.



--- 1 ---
A plane-wave DFT calculation with GGA-PBE was carried out for crystalline Tb2Tl2Hg at its relaxed geometry.

```
Tb2Tl2Hg
1.0
3.654 0.000 0.000
0.000 21.489 0.000
0.000 0.000 3.564
Tb Tl Hg
4 4 2
Cartesian
0.000 1.977 0.000
0.000 19.511 0.000
1.827 8.767 0.000
1.827 12.722 0.000
0.000 6.655 1.782
0.000 14.834 1.782
1.827 4.089 1.782
1.827 17.399 1.782
0.000 10.744 1.782
1.827 0.000 1.782
```

Results
- crystal system = orthorhombic
- total magnetic moment (μB/cell) = 0.67



--- 2 ---
A plane-wave DFT calculation with GGA-PBE was carried out for crystalline Tb2Tl2Hg at its relaxed geometry.

```
Tb2Tl2Hg
1.0
5.752 -2.394 0.000
5.752 2.394 0.000
-4.713 0.000 10.004
Tb Tl Hg
4 4 2
Cartesian
-1.326 0.000 3.262
1.575 0.000 0.916
5.216 0.000 9.088
8.118 0.000 6.742
1.912 0.000 4.564
4.729 0.000 1.155
2.063 0.000 8.849
4.880 0.000 5.440
-0.284 0.000 7.055
7.076 0.000 2.949
```

Results
- crystal system = monoclinic
- total magnetic moment (μB/cell) = 0.00



Preferred: 2; penalty for the next structure: 5.3 kJ/mol of atoms.



--- 1 ---
A plane-wave DFT calculation with GGA-PBE was carried out for crystalline TbTlHg4 at its relaxed geometry.

```
TbTlHg4
1.0
4.434 0.000 0.000
0.000 4.434 0.000
0.000 0.000 9.138
Tb Tl Hg
1 1 4
Cartesian
0.000 0.000 0.000
2.217 2.217 4.569
0.000 2.217 2.192
0.000 2.217 6.946
2.217 0.000 2.192
2.217 0.000 6.946
```

Results
- crystal system = tetragonal
- total magnetic moment (μB/cell) = 0.00



--- 2 ---
A plane-wave DFT calculation with GGA-PBE was carried out for crystalline TbTlHg4 at its relaxed geometry.

```
TbTlHg4
1.0
0.000 4.279 4.279
4.279 0.000 4.279
4.279 4.279 0.000
Tb Tl Hg
1 1 4
Cartesian
0.000 0.000 0.000
2.139 2.139 2.139
5.351 3.207 3.207
3.207 5.351 3.207
3.207 3.207 5.351
5.351 5.351 5.351
```

Results
- crystal system = cubic
- total magnetic moment (μB/cell) = 0.00



Preferred: 1; penalty for the next structure: 0.9 kJ/mol of atoms.



--- 1 ---
A plane-wave DFT calculation with GGA-PBE was carried out for crystalline Tb4TlHg2 at its relaxed geometry.

```
Tb4TlHg2
1.0
7.452 0.000 0.000
0.000 7.452 0.000
0.000 0.000 7.369
Tb Tl Hg
8 2 4
Cartesian
1.863 1.863 1.842
1.863 1.863 5.526
1.863 5.589 1.842
1.863 5.589 5.526
5.589 1.863 1.842
5.589 1.863 5.526
5.589 5.589 1.842
5.589 5.589 5.526
0.000 0.000 0.000
3.726 3.726 3.684
0.000 3.726 0.000
0.000 3.726 3.684
3.726 0.000 0.000
3.726 0.000 3.684
```

Results
- crystal system = tetragonal
- total magnetic moment (μB/cell) = 0.00



--- 2 ---
A plane-wave DFT calculation with GGA-PBE was carried out for crystalline Tb4TlHg2 at its relaxed geometry.

```
Tb4TlHg2
1.0
2.517 1.453 9.868
-2.517 1.453 9.868
0.000 -2.907 9.868
Tb Tl Hg
4 1 2
Cartesian
0.000 0.000 3.568
0.000 0.000 8.808
0.000 0.000 20.797
0.000 0.000 26.037
0.000 0.000 14.802
0.000 0.000 11.804
0.000 0.000 17.801
```

Results
- crystal system = trigonal
- total magnetic moment (μB/cell) = 0.00



Preferred: 1; penalty for the next structure: 15.1 kJ/mol of atoms.



--- 1 ---
A plane-wave DFT calculation with GGA-PBE was carried out for crystalline Tb8Tl2Hg at its relaxed geometry.

```
Tb8Tl2Hg
1.0
8.171 -2.684 0.000
8.171 2.684 0.000
-4.491 0.000 7.365
Tb Tl Hg
8 2 1
Cartesian
0.110 0.000 1.602
-0.862 0.000 4.992
2.751 0.000 4.098
6.469 0.000 0.396
5.381 0.000 6.969
9.100 0.000 3.267
12.712 0.000 2.372
11.740 0.000 5.763
3.156 0.000 0.898
8.695 0.000 6.467
5.925 0.000 3.682
```

Results
- crystal system = monoclinic
- total magnetic moment (μB/cell) = 0.00



--- 2 ---
A plane-wave DFT calculation with GGA-PBE was carried out for crystalline Tb8Tl2Hg at its relaxed geometry.

```
Tb8Tl2Hg
1.0
9.028 -2.616 0.000
9.028 2.616 0.000
-1.056 0.000 6.971
Tb Tl Hg
8 2 1
Cartesian
0.267 0.000 1.705
2.507 0.000 5.441
5.531 0.000 3.894
7.352 0.000 0.398
9.648 0.000 6.573
11.468 0.000 3.077
14.493 0.000 1.530
16.733 0.000 5.266
3.480 0.000 1.572
13.519 0.000 5.399
8.500 0.000 3.486
```

Results
- crystal system = monoclinic
- total magnetic moment (μB/cell) = 0.00



Preferred: 1; penalty for the next structure: 3.1 kJ/mol of atoms.